1.
A geometry-optimized Tb3ErCo structure, computed with GGA-PBE.

a b c (Å): 7.754 7.314 9.947
angles (deg): 90.00 107.09 90.00
Atoms (fractional coordinates):
Tb  0.082  0.128  0.392
Tb  0.082  0.372  0.892
Tb  0.213  0.506  0.618
Tb  0.213  0.994  0.118
Tb  0.416  0.702  0.970
Tb  0.416  0.798  0.470
Tb  0.584  0.202  0.530
Tb  0.584  0.298  0.030
Tb  0.787  0.006  0.882
Tb  0.787  0.494  0.382
Tb  0.918  0.628  0.108
Tb  0.918  0.872  0.608
Er  0.311  0.055  0.746
Er  0.311  0.445  0.246
Er  0.689  0.555  0.754
Er  0.689  0.945  0.254
Co  0.045  0.745  0.390
Co  0.045  0.755  0.890
Co  0.955  0.245  0.110
Co  0.955  0.255  0.610

2.
A geometry-optimized Tb3ErCo structure, computed with GGA-PBE.

a b c (Å): 7.119 7.119 8.141
angles (deg): 124.67 124.67 71.37
Atoms (fractional coordinates):
Tb  0.047  0.047  0.340
Tb  0.048  0.453  0.208
Tb  0.453  0.048  0.208
Tb  0.547  0.952  0.792
Tb  0.952  0.547  0.792
Tb  0.953  0.953  0.660
Er  0.453  0.453  0.749
Er  0.547  0.547  0.251
Co  0.250  0.250  0.871
Co  0.750  0.750  0.129

Least stable structure: 1

1.
A geometry-optimized TbEr4Co structure, computed with GGA-PBE.

a b c (Å): 6.162 6.162 8.249
angles (deg): 109.92 109.92 33.25
Atoms (fractional coordinates):
Tb  0.000  0.000  0.000
Er  0.330  0.330  0.208
Er  0.373  0.373  0.622
Er  0.627  0.627  0.378
Er  0.670  0.670  0.792
Co  0.000  0.000  0.500

2.
A geometry-optimized TbEr4Co structure, computed with GGA-PBE.

a b c (Å): 9.302 9.302 7.271
angles (deg): 90.00 90.00 146.11
Atoms (fractional coordinates):
Tb  0.114  0.886  0.500
Tb  0.886  0.114  0.000
Er  0.115  0.885  0.000
Er  0.300  0.700  0.252
Er  0.301  0.699  0.748
Er  0.500  0.500  0.249
Er  0.500  0.500  0.749
Er  0.699  0.301  0.248
Er  0.700  0.300  0.752
Er  0.885  0.115  0.500
Co  0.402  0.598  0.500
Co  0.598  0.402  0.000

Least stable structure: 2

1.
A geometry-optimized ErCoTc structure, computed with GGA-PBE.

a b c (Å): 6.681 6.681 5.551
angles (deg): 90.00 90.00 90.00
Atoms (fractional coordinates):
Er  0.230  0.230  0.000
Er  0.270  0.730  0.250
Er  0.730  0.270  0.750
Er  0.770  0.770  0.500
Co  0.177  0.823  0.750
Co  0.323  0.323  0.500
Co  0.677  0.677  0.000
Co  0.823  0.177  0.250
Tc  0.082  0.082  0.500
Tc  0.418  0.582  0.750
Tc  0.582  0.418  0.250
Tc  0.918  0.918  0.000

2.
A geometry-optimized ErCoTc structure, computed with GGA-PBE.

a b c (Å): 5.256 5.256 5.256
angles (deg): 123.56 118.70 88.11
Atoms (fractional coordinates):
Er  0.371  0.121  0.250
Er  0.629  0.879  0.750
Co  0.000  0.500  0.500
Co  0.500  0.500  0.000
Tc  0.000  0.000  0.500
Tc  0.000  0.500  0.000

Least stable structure: 1

1.
A geometry-optimized Er5Co2Te2 structure, computed with GGA-PBE.

a b c (Å): 7.727 7.727 14.938
angles (deg): 90.00 90.00 150.72
Atoms (fractional coordinates):
Er  0.038  0.962  0.627
Er  0.038  0.962  0.873
Er  0.259  0.741  0.131
Er  0.259  0.741  0.369
Er  0.393  0.607  0.750
Er  0.607  0.393  0.250
Er  0.741  0.259  0.631
Er  0.741  0.259  0.869
Er  0.962  0.038  0.127
Er  0.962  0.038  0.373
Co  0.180  0.820  0.750
Co  0.412  0.588  0.250
Co  0.588  0.412  0.750
Co  0.820  0.180  0.250
Te  0.382  0.618  0.538
Te  0.382  0.618  0.962
Te  0.618  0.382  0.038
Te  0.618  0.382  0.462

2.
A geometry-optimized Er5Co2Te2 structure, computed with GGA-PBE.

a b c (Å): 8.615 8.615 7.523
angles (deg): 90.00 90.00 52.22
Atoms (fractional coordinates):
Er  0.000  0.000  0.000
Er  0.048  0.724  0.660
Er  0.224  0.548  0.160
Er  0.276  0.952  0.660
Er  0.452  0.776  0.160
Er  0.500  0.500  0.500
Er  0.548  0.224  0.840
Er  0.724  0.048  0.340
Er  0.776  0.452  0.840
Er  0.952  0.276  0.340
Co  0.131  0.869  0.371
Co  0.369  0.631  0.871
Co  0.631  0.369  0.129
Co  0.869  0.131  0.629
Te  0.210  0.210  0.000
Te  0.290  0.290  0.500
Te  0.710  0.710  0.500
Te  0.790  0.790  0.000

Least stable structure: 2